Entry 1:
This record from Alexandria via LeMat-Bulk describes KGaC after structural relaxation. The functional is GGA-PBE.

abc: 6.186 8.810 5.269
angles: 90.00 90.00 90.00
Atoms (fractional coordinates):
K 0.250 0.000 0.000
K 0.250 0.500 0.000
K 0.750 0.000 0.000
K 0.750 0.500 0.000
Ga 0.250 0.250 0.500
Ga 0.250 0.750 0.500
Ga 0.750 0.250 0.500
Ga 0.750 0.750 0.500
C 0.000 0.250 0.301
C 0.000 0.750 0.699
C 0.500 0.250 0.699
C 0.500 0.750 0.301

Output
space-group type	Cmme (67)
formation enthalpy at 0 K	0.692	eV/atom
total magnetization	0.000	μB per atom
E	-3.757	eV per atom
crystal system	orthorhombic

Entry 2:
This record from Alexandria via LeMat-Bulk describes SrCa9La4 after structural relaxation. The functional is GGA-PBE.

abc: 10.759 10.759 12.085
angles: 90.00 90.00 120.00
Atoms (fractional coordinates):
Sr 0.333 0.667 0.250
Sr 0.667 0.333 0.750
Ca 0.087 0.543 0.750
Ca 0.202 0.405 0.026
Ca 0.202 0.405 0.474
Ca 0.202 0.798 0.026
Ca 0.202 0.798 0.474
Ca 0.405 0.202 0.526
Ca 0.405 0.202 0.974
Ca 0.457 0.543 0.750
Ca 0.457 0.913 0.750
Ca 0.543 0.087 0.250
Ca 0.543 0.457 0.250
Ca 0.595 0.798 0.026
Ca 0.595 0.798 0.474
Ca 0.798 0.202 0.526
Ca 0.798 0.202 0.974
Ca 0.798 0.595 0.526
Ca 0.798 0.595 0.974
Ca 0.913 0.457 0.250
La 0.000 0.000 0.000
La 0.000 0.000 0.500
La 0.100 0.200 0.750
La 0.100 0.900 0.750
La 0.200 0.100 0.250
La 0.800 0.900 0.750
La 0.900 0.100 0.250
La 0.900 0.800 0.250

Output
space-group type	P6_3/mmc (194)
formation enthalpy at 0 K	0.150	eV/atom
total magnetization	0.000	μB per atom
E	-2.665	eV per atom
crystal system	hexagonal

Entry 3:
This record from Alexandria via LeMat-Bulk describes Ca2AsPb after structural relaxation. The functional is GGA-PBE.

abc: 6.774 8.536 3.731
angles: 90.00 90.00 90.00
Atoms (fractional coordinates):
Ca 0.250 0.250 0.000
Ca 0.250 0.750 0.000
Ca 0.750 0.250 0.000
Ca 0.750 0.750 0.000
As 0.000 0.000 0.500
As 0.500 0.500 0.500
Pb 0.000 0.500 0.500
Pb 0.500 0.000 0.500

Output
space-group type	Cmmm (65)
formation enthalpy at 0 K	-0.648	eV/atom
total magnetization	0.000	μB per atom
E above lowest polymorph	8.7	kJ per mole of atoms
E	-3.738	eV per atom
crystal system	orthorhombic

Entry 4:
This record from Alexandria via LeMat-Bulk describes Hg2BCl after structural relaxation. The functional is GGA-PBE.

abc: 7.137 7.137 7.137
angles: 90.00 90.00 90.00
Atoms (fractional coordinates):
Hg 0.000 0.000 0.000
Hg 0.000 0.500 0.500
Hg 0.250 0.250 0.250
Hg 0.250 0.750 0.750
Hg 0.500 0.000 0.500
Hg 0.500 0.500 0.000
Hg 0.750 0.250 0.750
Hg 0.750 0.750 0.250
B 0.250 0.250 0.750
B 0.250 0.750 0.250
B 0.750 0.250 0.250
B 0.750 0.750 0.750
Cl 0.000 0.000 0.500
Cl 0.000 0.500 0.000
Cl 0.500 0.000 0.000
Cl 0.500 0.500 0.500

Output
space-group type	F-43m (216)
raw formation energy	0.9756	eV per atom
total magnetization	0.000	μB per atom
E above lowest polymorph	57.9	kJ per mole of atoms
E	-1.306	eV per atom
crystal system	cubic

Entry 5:
This record from Alexandria via LeMat-Bulk describes PtI2 after structural relaxation. The functional is GGA-PBE.

abc: 7.066 9.093 7.087
angles: 90.00 103.22 90.00
Atoms (fractional coordinates):
Pt 0.218 0.131 0.497
Pt 0.218 0.369 0.997
Pt 0.782 0.631 0.003
Pt 0.782 0.869 0.503
I 0.016 0.574 0.774
I 0.016 0.926 0.274
I 0.428 0.179 0.240
I 0.428 0.321 0.740
I 0.572 0.679 0.260
I 0.572 0.821 0.760
I 0.984 0.074 0.726
I 0.984 0.426 0.226

Output
space-group type	P2_1/c (14)
raw formation energy	-0.1498	eV per atom
total magnetization	0.000	μB per atom
E	-3.197	eV per atom
crystal system	monoclinic

Entry 6:
This record from Alexandria via LeMat-Bulk describes TcP2W after structural relaxation. The functional is GGA-PBE.

abc: 2.977 4.438 4.210
angles: 90.00 90.00 90.00
Atoms (fractional coordinates):
Tc 0.000 0.000 0.000
P 0.000 0.500 0.244
P 0.500 0.000 0.483
W 0.500 0.500 0.749

Output
space-group type	Pmm2 (25)
formation enthalpy at 0 K	-0.270	eV/atom
total magnetization	0.000	μB per atom
E above lowest polymorph	12.9	kJ per mole of atoms
E	-8.805	eV per atom
crystal system	orthorhombic

Entry 7:
This record from Alexandria via LeMat-Bulk describes Si2GeN after structural relaxation. The functional is GGA-PBE.

abc: 4.759 4.759 10.486
angles: 90.00 90.00 90.00
Atoms (fractional coordinates):
Si 0.160 0.250 0.125
Si 0.250 0.660 0.375
Si 0.250 0.840 0.875
Si 0.340 0.250 0.625
Si 0.660 0.750 0.625
Si 0.750 0.160 0.875
Si 0.750 0.340 0.375
Si 0.840 0.750 0.125
Ge 0.000 0.000 0.500
Ge 0.000 0.500 0.750
Ge 0.500 0.000 0.250
Ge 0.500 0.500 0.000
N 0.000 0.000 0.000
N 0.000 0.500 0.250
N 0.500 0.000 0.750
N 0.500 0.500 0.500

Output
space-group type	I-42d (122)
raw formation energy	0.1529	eV per atom
total magnetization	0.000	μB per atom
E above lowest polymorph	0.0	kJ per mole of atoms
E	-5.794	eV per atom
crystal system	tetragonal

Entry 8:
This record from Alexandria via LeMat-Bulk describes Ba2NaLiHg after structural relaxation. The functional is GGA-PBE.

abc: 6.620 6.620 5.754
angles: 90.00 90.00 90.00
Atoms (fractional coordinates):
Ba 0.000 0.500 0.000
Ba 0.500 0.000 0.000
Na 0.000 0.000 0.500
Li 0.500 0.500 0.500
Hg 0.000 0.000 0.000

Output
space-group type	P4/mmm (123)
formation enthalpy at 0 K	-0.035	eV/atom
total magnetization	0.000	μB per atom
E above lowest polymorph	8.4	kJ per mole of atoms
E	-1.511	eV per atom
crystal system	tetragonal